{"formula": "Ac2CeRu", "functional": "GGA-PBE", "state": "relaxed", "lattice": [[-6.506, 2.003, 0.388], [-0.061, -1.604, 7.269], [3.132, 9.750, 2.178]], "species": ["Ac", "Ac", "Ac", "Ac", "Ac", "Ac", "Ac", "Ac", "Ce", "Ce", "Ce", "Ce", "Ru", "Ru", "Ru", "Ru"], "frac_coords": [[0.176, 0.669, 0.431], [0.824, 0.331, 0.569], [0.176, 0.669, 0.069], [0.676, 0.831, 0.569], [0.324, 0.169, 0.069], [0.676, 0.831, 0.931], [0.324, 0.169, 0.431], [0.824, 0.331, 0.931], [0.180, 0.941, 0.750], [0.680, 0.559, 0.250], [0.320, 0.441, 0.750], [0.820, 0.059, 0.250], [0.519, 0.856, 0.250], [0.481, 0.144, 0.750], [0.981, 0.356, 0.250], [0.019, 0.644, 0.750]], "e_form_ev_per_atom": -0.2150, "magnetic_moment_mub_per_fu": 0.3, "e_tot_ev_per_atom": -6.07}